1.
MgZrTl2 | GGA-PBE | optimized geometry

Cell lengths 4.734, 3.246, 6.311 Å; angles 85.04, 90.00, 90.00 degrees
Fractional coordinates of all 4 atoms:
Zr (0.500, 0.250, 0.250)
Mg (0.500, 0.750, 0.750)
Tl (0.000, 0.596, 0.493)
Tl (0.000, 0.904, 0.007)

Calculated values
energy relative to the elements = 0.06 eV/atom
total energy = -14.63 eV per cell
V = 24.154 Å³/atom
Fermi-level density of states = 0.63 states/eV/atom
magnetic moment = 0.000 μB per formula unit
space group = P2/m (10)

2.
PmY5Sc2 | GGA-PBE | optimized geometry

Cell lengths 8.748, 8.748, 8.919 Å; angles 119.37, 119.37, 90.00 degrees
Fractional coordinates of all 16 atoms:
Y (0.309, 0.809, 0.313)
Y (0.000, 0.000, 0.000)
Y (0.996, 0.496, 0.687)
Y (0.191, 0.996, 0.687)
Y (0.504, 0.309, 0.313)
Y (0.496, 0.691, 0.687)
Y (0.809, 0.004, 0.313)
Y (0.004, 0.504, 0.313)
Y (0.500, 0.500, 0.000)
Y (0.691, 0.191, 0.687)
Sc (0.639, 0.139, 0.000)
Sc (0.361, 0.861, 0.000)
Sc (0.861, 0.639, 0.000)
Sc (0.139, 0.361, 0.000)
Pm (0.750, 0.750, 0.500)
Pm (0.250, 0.250, 0.500)

Calculated values
energy relative to the elements = 0.10 eV/atom
total energy = -97.83 eV per cell
V = 30.736 Å³/atom
relative energy among the computed polymorphs = 65.2 meV/atom
Fermi-level density of states = 1.61 states/eV/atom
magnetic moment = 0.000 μB per formula unit
space group = I4/mcm (140)

3.
Pu6GeIr3 | GGA-PBE | optimized geometry

Cell lengths 8.634, 5.372, 9.737 Å; angles 90.00, 69.53, 90.00 degrees
Last column: magnetic moment on the atom in μB.
Fractional coordinates of all 20 atoms:
Ge (0.000, 0.000, 0.000)  -0.03
Ge (0.500, 0.500, 0.500)  -0.03
Pu (0.197, 0.484, 0.372)  5.22
Pu (0.148, 0.706, 0.702)  -4.50
Pu (0.803, 0.516, 0.628)  5.22
Pu (0.648, 0.794, 0.202)  -4.50
Pu (0.326, 0.998, 0.495)  4.57
Pu (0.174, 0.498, 0.005)  4.57
Pu (0.826, 0.502, 0.995)  4.57
Pu (0.674, 0.002, 0.505)  4.57
Pu (0.697, 0.016, 0.872)  5.22
Pu (0.352, 0.206, 0.798)  -4.50
Pu (0.852, 0.294, 0.298)  -4.50
Pu (0.303, 0.984, 0.128)  5.22
Ir (0.000, 0.000, 0.500)  -0.20
Ir (0.536, 0.261, 0.240)  0.04
Ir (0.964, 0.761, 0.260)  0.04
Ir (0.036, 0.239, 0.740)  0.04
Ir (0.500, 0.500, 0.000)  -0.20
Ir (0.464, 0.739, 0.760)  0.04

Calculated values
energy relative to the elements = -0.32 eV/atom
total energy = -240.75 eV per cell
V = 21.154 Å³/atom
Fermi-level density of states = 4.02 states/eV/atom
magnetic moment = 11.025 μB per formula unit
space group = P2_1/c (14)

4.
Ga2BiBPb | GGA-PBE | optimized geometry

Cell lengths 5.672, 4.620, 5.672 Å; angles 90.00, 90.00, 90.00 degrees
Fractional coordinates of all 5 atoms:
B (0.000, 0.500, 0.000)
Ga (0.500, 0.000, 0.000)
Ga (0.000, 0.000, 0.500)
Bi (0.000, 0.000, 0.000)
Pb (0.500, 0.500, 0.500)

Calculated values
energy relative to the elements = 1.14 eV/atom
total energy = -14.64 eV per cell
V = 29.726 Å³/atom
Fermi-level density of states = 0.74 states/eV/atom
magnetic moment = 0.000 μB per formula unit
space group = P4/mmm (123)

5.
Ca3Pm2WN6 | GGA-PBE | optimized geometry

Cell lengths 5.981, 5.981, 5.967 Å; angles 99.58, 99.58, 120.10 degrees
Fractional coordinates of all 12 atoms:
N (0.780, 0.780, 0.215)
N (0.636, 0.927, 0.780)
N (0.364, 0.073, 0.220)
N (0.073, 0.364, 0.220)
N (0.927, 0.636, 0.780)
N (0.220, 0.220, 0.785)
Pm (0.333, 0.667, 0.000)
Pm (0.667, 0.333, 0.000)
Ca (0.500, 0.500, 0.500)
Ca (0.841, 0.159, 0.500)
Ca (0.159, 0.841, 0.500)
W (0.000, 0.000, 0.000)

Calculated values
total energy = -91.27 eV per cell
energy relative to the elements, uncorrected = -1.07 eV per atom
V = 14.509 Å³/atom
magnetic moment = 0.000 μB per formula unit
space group = C2/m (12)

6.
MnSnPS | GGA-PBE | optimized geometry

Cell lengths 3.916, 4.219, 5.140 Å; angles 65.80, 66.53, 90.04 degrees
Last column: magnetic moment on the atom in μB.
Fractional coordinates of all 4 atoms:
Sn (0.977, 0.155, 0.468)  -0.03
S (0.642, 0.800, 0.165)  0.00
P (0.370, 0.546, 0.697)  -0.03
Mn (0.742, 0.410, 0.942)  1.26

Calculated values
total energy = -22.94 eV per cell
energy relative to the elements, uncorrected = -0.06 eV per atom
V = 17.421 Å³/atom
relative energy among the computed polymorphs = 200.2 meV/atom
Fermi-level density of states = 0.62 states/eV/atom
magnetic moment = 1.182 μB per formula unit
space group = P1 (1)

7.
SmY2TmN4 | GGA-PBE | optimized geometry

Cell lengths 3.489, 6.043, 6.042 Å; angles 109.44, 90.00, 90.00 degrees
Fractional coordinates of all 8 atoms:
N (0.000, 0.756, 0.252)
N (0.500, 0.245, 0.249)
N (0.000, 0.244, 0.748)
N (0.500, 0.755, 0.751)
Sm (0.500, 0.500, 0.000)
Tm (0.000, 0.000, 0.000)
Y (0.500, 0.000, 0.500)
Y (0.000, 0.500, 0.500)

Calculated values
total energy = -68.68 eV per cell
energy relative to the elements, uncorrected = -1.66 eV per atom
V = 15.017 Å³/atom
Fermi-level density of states = 0.03 states/eV/atom
magnetic moment = 0.000 μB per formula unit
space group = P2/m (10)

8.
KSn3Pt5 | GGA-PBE | optimized geometry

Cell lengths 4.241, 7.263, 13.391 Å; angles 90.00, 90.00, 106.97 degrees
Fractional coordinates of all 18 atoms:
Sn (0.377, 0.753, 0.548)
Sn (0.623, 0.247, 0.048)
Sn (0.623, 0.247, 0.452)
Sn (0.377, 0.753, 0.952)
Sn (0.101, 0.201, 0.750)
Sn (0.899, 0.799, 0.250)
Pt (0.191, 0.382, 0.568)
Pt (0.452, 0.904, 0.141)
Pt (0.000, 0.000, 0.000)
Pt (0.548, 0.096, 0.859)
Pt (0.191, 0.382, 0.932)
Pt (0.809, 0.618, 0.432)
Pt (0.000, 0.000, 0.500)
Pt (0.452, 0.904, 0.359)
Pt (0.548, 0.096, 0.641)
Pt (0.809, 0.618, 0.068)
K (0.824, 0.647, 0.750)
K (0.176, 0.353, 0.250)

Calculated values
energy relative to the elements = -0.43 eV/atom
total energy = -94.44 eV per cell
V = 21.915 Å³/atom
Fermi-level density of states = 0.34 states/eV/atom
magnetic moment = 0.000 μB per formula unit
space group = Cmcm (63)

9.
La2InBr | GGA-PBE | optimized geometry

Cell lengths 4.667, 4.667, 7.666 Å; angles 73.98, 73.98, 55.20 degrees
Fractional coordinates of all 4 atoms:
La (0.993, 0.993, 0.005)
La (0.507, 0.507, 0.495)
Br (0.250, 0.250, 0.250)
In (0.750, 0.750, 0.750)

Calculated values
total energy = -17.62 eV per cell
energy relative to the elements, uncorrected = -0.84 eV per atom
V = 32.575 Å³/atom
relative energy among the computed polymorphs = 43.5 meV/atom
Fermi-level density of states = 0.71 states/eV/atom
magnetic moment = 0.000 μB per formula unit
space group = C2/m (12)

10.
PrTmBeZn | GGA-PBE | optimized geometry

Cell lengths 5.017, 5.017, 5.017 Å; angles 60.00, 60.00, 60.00 degrees
Fractional coordinates of all 4 atoms:
Pr (0.000, 0.000, 0.000)
Be (0.250, 0.250, 0.250)
Zn (0.750, 0.750, 0.750)
Tm (0.500, 0.500, 0.500)

Calculated values
energy relative to the elements = -0.06 eV/atom
total energy = -14.48 eV per cell
V = 22.320 Å³/atom
Fermi-level density of states = 1.19 states/eV/atom
magnetic moment = 0.000 μB per formula unit
space group = F-43m (216)

11.
Tl2CoPt | GGA-PBE | optimized geometry

Cell lengths 5.525, 5.525, 5.525 Å; angles 137.75, 137.75, 61.28 degrees
Last column: magnetic moment on the atom in μB.
Fractional coordinates of all 4 atoms:
Co (0.500, 0.500, 0.000)  1.29
Tl (0.000, 0.000, 0.000)  -0.03
Tl (0.250, 0.750, 0.500)  -0.02
Pt (0.750, 0.250, 0.500)  -0.06

Calculated values
energy relative to the elements = 0.42 eV/atom
total energy = -16.19 eV per cell
V = 18.847 Å³/atom
Fermi-level density of states = 1.59 states/eV/atom
magnetic moment = 1.110 μB per formula unit
space group = I-4m2 (119)

12.
SrLi2Ag | GGA-PBE | optimized geometry

Cell lengths 4.417, 4.033, 6.467 Å; angles 73.72, 90.00, 90.00 degrees
Fractional coordinates of all 4 atoms:
Li (0.500, 0.258, 0.120)
Li (0.000, 0.809, 0.028)
Ag (0.500, 0.915, 0.789)
Sr (0.000, 0.518, 0.563)

Calculated values
energy relative to the elements = -0.09 eV/atom
total energy = -8.70 eV per cell
V = 27.642 Å³/atom
Fermi-level density of states = 0.55 states/eV/atom
magnetic moment = 0.000 μB per formula unit
space group = Pm (6)

13.
EuAgHg | GGA-PBE | optimized geometry

Cell lengths 3.724, 4.949, 4.949 Å; angles 120.00, 90.00, 90.00 degrees
Last column: magnetic moment on the atom in μB.
Fractional coordinates of all 3 atoms:
Eu (0.667, 0.667, 0.333)  6.87
Ag (0.167, 0.333, 0.667)  0.00
Hg (0.166, 0.000, 0.000)  0.02

Calculated values
energy relative to the elements = -0.39 eV/atom
total energy = -14.59 eV per cell
V = 26.328 Å³/atom
relative energy among the computed polymorphs = 0.0 meV/atom
Fermi-level density of states = 3.06 states/eV/atom
magnetic moment = 7.194 μB per formula unit
space group = P-6m2 (187)

14.
BiPd3Pb | GGA-PBE | optimized geometry

Cell lengths 4.863, 7.653, 7.712 Å; angles 103.05, 71.88, 132.08 degrees
Fractional coordinates of all 10 atoms:
Pb (0.447, 0.144, 0.333)
Pb (0.553, 0.856, 0.667)
Pd (0.958, 0.668, 0.467)
Pd (0.042, 0.332, 0.533)
Pd (0.960, 0.848, 0.854)
Pd (0.040, 0.152, 0.146)
Pd (0.249, 0.747, 0.059)
Pd (0.751, 0.253, 0.941)
Bi (0.452, 0.364, 0.780)
Bi (0.548, 0.636, 0.220)

Calculated values
energy relative to the elements = -0.24 eV/atom
total energy = -48.71 eV per cell
V = 20.243 Å³/atom
relative energy among the computed polymorphs = 0.0 meV/atom
Fermi-level density of states = 0.42 states/eV/atom
magnetic moment = 0.000 μB per formula unit
space group = P-1 (2)

15.
Hf2TaS | GGA-PBE | optimized geometry

Cell lengths 7.979, 7.979, 6.187 Å; angles 49.85, 49.85, 90.00 degrees
Fractional coordinates of all 8 atoms:
S (0.500, 0.500, 0.000)
S (0.250, 0.750, 0.500)
Hf (0.875, 0.785, 0.750)
Hf (0.215, 0.625, 0.250)
Hf (0.375, 0.465, 0.750)
Hf (0.535, 0.125, 0.250)
Ta (0.000, 0.000, 0.000)
Ta (0.750, 0.250, 0.500)

Calculated values
total energy = -72.56 eV per cell
energy relative to the elements, uncorrected = -0.10 eV per atom
V = 20.214 Å³/atom
Fermi-level density of states = 1.02 states/eV/atom
magnetic moment = 0.000 μB per formula unit
space group = I-42d (122)

16.
TiBAu2 | GGA-PBE | optimized geometry

Cell lengths 4.875, 4.875, 7.248 Å; angles 70.35, 70.35, 90.00 degrees
Fractional coordinates of all 8 atoms:
Ti (0.750, 0.250, 0.500)
Ti (0.000, 0.000, 0.000)
Au (0.375, 0.465, 0.750)
Au (0.535, 0.125, 0.250)
Au (0.875, 0.785, 0.750)
Au (0.215, 0.625, 0.250)
B (0.500, 0.500, 0.000)
B (0.250, 0.750, 0.500)

Calculated values
energy relative to the elements = 0.51 eV/atom
total energy = -38.20 eV per cell
V = 18.939 Å³/atom
Fermi-level density of states = 0.70 states/eV/atom
magnetic moment = 0.010 μB per formula unit
space group = I-42d (122)

17.
PmNd2Th3Bi6 | GGA-PBE | optimized geometry

Cell lengths 4.601, 9.182, 10.288 Å; angles 102.88, 102.92, 90.00 degrees
Fractional coordinates of all 12 atoms:
Bi (0.667, 0.583, 0.333)
Bi (0.666, 0.082, 0.332)
Bi (0.000, 0.249, 0.999)
Bi (0.000, 0.751, 0.001)
Bi (0.334, 0.918, 0.668)
Bi (0.333, 0.417, 0.667)
Pm (0.500, 0.000, 0.000)
Th (0.167, 0.833, 0.334)
Th (0.500, 0.500, 0.000)
Th (0.833, 0.167, 0.666)
Nd (0.833, 0.667, 0.667)
Nd (0.167, 0.333, 0.333)

Calculated values
energy relative to the elements = -0.76 eV/atom
total energy = -69.01 eV per cell
V = 34.364 Å³/atom
Fermi-level density of states = 0.56 states/eV/atom
magnetic moment = 0.000 μB per formula unit
space group = C2/m (12)

18.
BiMoBr2 | GGA-PBE | optimized geometry

Cell lengths 9.331, 9.331, 7.133 Å; angles 49.15, 49.15, 90.00 degrees
Last column: magnetic moment on the atom in μB.
Fractional coordinates of all 8 atoms:
Br (0.255, 0.625, 0.250)  -0.02
Br (0.495, 0.125, 0.250)  -0.02
Br (0.875, 0.745, 0.750)  -0.01
Br (0.375, 0.505, 0.750)  -0.01
Bi (0.750, 0.250, 0.500)  -0.27
Bi (0.000, 0.000, 0.000)  -0.27
Mo (0.500, 0.500, 0.000)  1.24
Mo (0.250, 0.750, 0.500)  1.24

Calculated values
total energy = -34.21 eV per cell
energy relative to the elements, uncorrected = 0.24 eV per atom
V = 29.508 Å³/atom
relative energy among the computed polymorphs = 155.5 meV/atom
Fermi-level density of states = 0.06 states/eV/atom
magnetic moment = 1.003 μB per formula unit
space group = I-42d (122)

19.
Ta2CoTc | GGA-PBE | optimized geometry

Cell lengths 4.224, 2.765, 5.379 Å; angles 80.48, 90.00, 90.00 degrees
Last column: magnetic moment on the atom in μB.
Fractional coordinates of all 4 atoms:
Ta (0.000, 0.006, 0.999)  -0.01
Ta (0.000, 0.494, 0.501)  -0.01
Tc (0.500, 0.250, 0.250)  0.08
Co (0.500, 0.750, 0.750)  0.69

Calculated values
energy relative to the elements = -0.03 eV/atom
total energy = -41.30 eV per cell
V = 15.491 Å³/atom
relative energy among the computed polymorphs = 248.0 meV/atom
Fermi-level density of states = 1.08 states/eV/atom
magnetic moment = 0.708 μB per formula unit
space group = P2/m (10)

20.
CaBeZnCu6 | GGA-PBE | optimized geometry

Cell lengths 6.734, 6.375, 8.041 Å; angles 113.35, 114.75, 90.00 degrees
Fractional coordinates of all 18 atoms:
Ca (0.712, 0.462, 0.423)
Ca (0.288, 0.538, 0.577)
Cu (0.104, 0.955, 0.816)
Cu (0.712, 0.955, 0.816)
Cu (0.041, 0.291, 0.083)
Cu (0.288, 0.638, 0.184)
Cu (0.104, 0.362, 0.816)
Cu (0.712, 0.362, 0.816)
Cu (0.896, 0.045, 0.184)
Cu (0.959, 0.709, 0.917)
Cu (0.288, 0.045, 0.184)
Cu (0.896, 0.638, 0.184)
Cu (0.614, 0.864, 0.229)
Cu (0.386, 0.136, 0.771)
Be (0.500, 0.000, 0.000)
Be (0.500, 0.500, 0.000)
Zn (0.000, 0.000, 0.500)
Zn (0.500, 0.000, 0.500)

Calculated values
energy relative to the elements = 0.08 eV/atom
total energy = -61.66 eV per cell
V = 15.669 Å³/atom
Fermi-level density of states = 0.29 states/eV/atom
magnetic moment = 0.000 μB per formula unit
space group = Imma (74)